# 1
Computed, not measured: crystalline CdHgAu2 at its relaxed geometry at the PBE-GGA level of DFT.

Cell lengths 4.823, 4.823, 4.823 Å; angles 60.00, 60.00, 60.00 degrees
Atoms (fractional coordinates):
Cd  0.000  0.000  0.000
Hg  0.250  0.250  0.250
Au  0.500  0.500  0.500
Au  0.750  0.750  0.750

## Properties
ΔH_f (0 K)	7	meV per atom
E_tot	-1.94	eV per atom
space group	No. 216


# 2
Computed, not measured: crystalline La2O3 at its relaxed geometry at the PBE-GGA level of DFT.

Cell lengths 9.485, 3.594, 9.474 Å; angles 90.00, 90.00, 90.00 degrees
Atoms (fractional coordinates):
La  0.004  0.250  0.183
La  0.183  0.250  0.514
La  0.317  0.750  0.014
La  0.496  0.750  0.683
La  0.504  0.250  0.317
La  0.683  0.250  0.986
La  0.817  0.750  0.486
La  0.996  0.750  0.817
O  0.044  0.750  0.373
O  0.109  0.250  0.942
O  0.220  0.750  0.682
O  0.280  0.250  0.182
O  0.391  0.750  0.442
O  0.456  0.250  0.873
O  0.544  0.750  0.127
O  0.609  0.250  0.558
O  0.720  0.750  0.818
O  0.780  0.250  0.318
O  0.891  0.750  0.058
O  0.956  0.250  0.627

## Properties
formation energy without anion corrections	-16.633	eV/f.u.
E_tot	-8.27	eV per atom
space group	No. 62


# 3
Computed, not measured: crystalline Sm3In3Ir2 at its relaxed geometry at the PBE-GGA level of DFT.

Cell lengths 8.582, 8.582, 5.295 Å; angles 100.89, 100.89, 31.61 degrees
Atoms (fractional coordinates):
Sm  0.000  0.000  0.000
Sm  0.169  0.169  0.589
Sm  0.831  0.831  0.411
In  0.367  0.367  0.924
In  0.500  0.500  0.500
In  0.633  0.633  0.076
Ir  0.217  0.217  0.118
Ir  0.783  0.783  0.882

## Properties
ΔH_f (0 K)	-545	meV per atom
E_tot	-5.56	eV per atom
space group	No. 12


# 4
Computed, not measured: crystalline ScNiGe3 at its relaxed geometry at the PBE-GGA level of DFT.

Cell lengths 4.608, 4.608, 4.608 Å; angles 90.00, 90.00, 90.00 degrees
Atoms (fractional coordinates):
Sc  0.000  0.000  0.000
Ni  0.500  0.500  0.500
Ge  0.000  0.500  0.500
Ge  0.500  0.000  0.500
Ge  0.500  0.500  0.000

## Properties
ΔH_f (0 K)	61	meV per atom
E_tot	-5.13	eV per atom
space group	No. 221


# 5
Computed, not measured: crystalline Rb2YI5 at its relaxed geometry at the PBE-GGA level of DFT.

Cell lengths 14.792, 9.929, 9.580 Å; angles 90.00, 90.00, 90.00 degrees
Atoms (fractional coordinates):
Rb  0.169  0.012  0.093
Rb  0.169  0.488  0.093
Rb  0.331  0.512  0.593
Rb  0.331  0.988  0.593
Rb  0.669  0.012  0.407
Rb  0.669  0.488  0.407
Rb  0.831  0.512  0.907
Rb  0.831  0.988  0.907
Y  0.006  0.250  0.575
Y  0.494  0.750  0.075
Y  0.506  0.250  0.925
Y  0.994  0.750  0.425
I  0.013  0.250  0.907
I  0.056  0.549  0.669
I  0.056  0.951  0.669
I  0.188  0.250  0.417
I  0.197  0.750  0.366
I  0.303  0.250  0.866
I  0.312  0.750  0.917
I  0.444  0.049  0.169
I  0.444  0.451  0.169
I  0.487  0.750  0.407
I  0.513  0.250  0.593
I  0.556  0.549  0.831
I  0.556  0.951  0.831
I  0.688  0.250  0.083
I  0.697  0.750  0.134
I  0.803  0.250  0.634
I  0.812  0.750  0.583
I  0.944  0.049  0.331
I  0.944  0.451  0.331
I  0.987  0.750  0.093

## Properties
formation energy without anion corrections	-11.586	eV/f.u.
E_tot	-3.47	eV per atom
space group	No. 62
energy relative to the lowest polymorph listed for this composition	0	meV per atom


# 6
Computed, not measured: crystalline Pa6MnTe12 at its relaxed geometry at the PBE-GGA level of DFT.

Cell lengths 8.767, 8.767, 8.767 Å; angles 100.70, 100.70, 100.70 degrees
Atoms (fractional coordinates):
Pa  0.129  0.304  0.638
Pa  0.304  0.638  0.129
Pa  0.362  0.871  0.696
Pa  0.638  0.129  0.304
Pa  0.696  0.362  0.871
Pa  0.871  0.696  0.362
Mn  0.000  0.000  0.000
Te  0.028  0.940  0.684
Te  0.060  0.316  0.972
Te  0.177  0.559  0.420
Te  0.316  0.972  0.060
Te  0.420  0.177  0.559
Te  0.441  0.580  0.823
Te  0.559  0.420  0.177
Te  0.580  0.823  0.441
Te  0.684  0.028  0.940
Te  0.823  0.441  0.580
Te  0.940  0.684  0.028
Te  0.972  0.060  0.316

## Properties
formation energy without anion corrections	-12.426	eV/f.u.
E_tot	-6.12	eV per atom
space group	No. 148